Entry 1:
An optimized crystal structure of CaAgTe4Pb2. Source: the Alexandria database, functional GGA-PBE.

The value obtained for the formation energy (no corrections) is -0.5443 eV/atom. The crystal system is monoclinic.

The structure belongs to space group P2/m (No. 10); the cell edges are 7.792, 4.470 and 7.854 Å and the angles 90.00°, 110.33° and 90.00°. The distinct sites, in fractional coordinates, are Ca at (0.000, 0.000, 0.000), Ag at (0.500, 0.500, 0.000), Te at (0.248, 0.500, 0.240), Te at (0.269, 0.000, 0.773), Pb at (0.000, 0.500, 0.500) and Pb at (0.500, 0.000, 0.500).


Entry 2:
An optimized crystal structure of AcZrTiIr2. Source: the Alexandria database, functional GGA-PBE.

For the formation energy, the calculation gives -739 meV per atom. The crystal system is tetragonal.

The structure belongs to space group I-4m2 (No. 119); the cell edges are 4.476, 4.476 and 11.160 Å and the angles 90.00°, 90.00° and 90.00°. The distinct sites, in fractional coordinates, are Ac at (0.000, 0.000, 0.000), Zr at (0.000, 0.500, 0.250), Ti at (0.000, 0.500, 0.750) and Ir at (0.000, 0.000, 0.378).


Entry 3:
An optimized crystal structure of LiZr2VAu. Source: the Alexandria database, functional GGA-PBE.

For the formation energy, the calculation gives 650 meV per atom. The crystal system is tetragonal.

The structure belongs to space group P4/mmm (No. 123); the cell edges are 4.723, 4.723 and 4.316 Å and the angles 90.00°, 90.00° and 90.00°. The distinct sites, in fractional coordinates, are Li at (0.000, 0.000, 0.000), Zr at (0.000, 0.500, 0.000), V at (0.500, 0.500, 0.500) and Au at (0.000, 0.000, 0.500).